No. 1
# TlZn2Os PBE optimized geometry
data_TlZn2Os
_chemical_formula_sum 'Tl2 Zn4 Os2'
_space_group_name_H-M_alt 'C m m 2'
_space_group_IT_number 35
_cell_length_a 2.920
_cell_length_b 4.936
_cell_length_c 10.225
_cell_angle_alpha 90.00
_cell_angle_beta 90.00
_cell_angle_gamma 90.00
loop_
_space_group_symop_operation_xyz
'x,y,z'
'-x,-y,z'
'-x,y,z'
'x,-y,z'
'x+1/2,y+1/2,z'
'-x+1/2,-y+1/2,z'
'-x+1/2,y+1/2,z'
'x+1/2,-y+1/2,z'
loop_
_atom_site_label
_atom_site_type_symbol
_atom_site_fract_x
_atom_site_fract_y
_atom_site_fract_z
Tl1 Tl 0.000 0.000 0.000
Zn1 Zn 0.000 0.000 0.468
Zn2 Zn 0.000 0.500 0.690
Os1 Os 0.000 0.500 0.260
# excess energy over the best structure of this formula in the dataset: 0.219 eV per atom
# DFT formation energy: 589.7 meV/atom

No. 2
# HoTc3Ge2 PBE optimized geometry
data_HoTc3Ge2
_chemical_formula_sum 'Ho4 Tc12 Ge8'
_space_group_name_H-M_alt 'C 1 2/m 1'
_space_group_IT_number 12
_cell_length_a 15.403
_cell_length_b 4.149
_cell_length_c 7.514
_cell_angle_alpha 90.00
_cell_angle_beta 118.65
_cell_angle_gamma 90.00
loop_
_space_group_symop_operation_xyz
'x,y,z'
'-x,-y,-z'
'-x,y,-z'
'x,-y,z'
'x+1/2,y+1/2,z'
'-x+1/2,-y+1/2,-z'
'-x+1/2,y+1/2,-z'
'x+1/2,-y+1/2,z'
loop_
_atom_site_label
_atom_site_type_symbol
_atom_site_fract_x
_atom_site_fract_y
_atom_site_fract_z
Ho1 Ho 0.138 0.000 0.060
Tc1 Tc 0.049 0.000 0.404
Tc2 Tc 0.088 0.500 0.654
Tc3 Tc 0.203 0.500 0.477
Ge1 Ge 0.022 0.500 0.183
Ge2 Ge 0.205 0.000 0.743
# DFT formation energy: -378.3 meV/atom

No. 3
# BiTe2Pd8 PBE optimized geometry
data_BiTe2Pd8
_chemical_formula_sum 'Bi1 Te2 Pd8'
_space_group_name_H-M_alt 'P 1'
_space_group_IT_number 1
_cell_length_a 4.809
_cell_length_b 6.178
_cell_length_c 7.712
_cell_angle_alpha 111.62
_cell_angle_beta 105.74
_cell_angle_gamma 95.52
loop_
_space_group_symop_operation_xyz
'x,y,z'
loop_
_atom_site_label
_atom_site_type_symbol
_atom_site_fract_x
_atom_site_fract_y
_atom_site_fract_z
Bi1 Bi 0.000 0.000 0.000
Te1 Te 0.323 0.363 0.681
Te2 Te 0.644 0.681 0.318
Pd1 Pd 0.164 0.445 0.353
Pd2 Pd 0.177 0.933 0.388
Pd3 Pd 0.183 0.595 0.000
Pd4 Pd 0.369 0.852 0.760
Pd5 Pd 0.609 0.093 0.241
Pd6 Pd 0.669 0.342 0.999
Pd7 Pd 0.789 0.545 0.612
Pd8 Pd 0.810 0.090 0.646
# excess energy over the best structure of this formula in the dataset: 0.003 eV per atom
# uncorrected formation energy: -270 meV per atom

No. 4
# AlAuI4 PBE optimized geometry
data_AlAuI4
_chemical_formula_sum 'Al2 Au2 I8'
_space_group_name_H-M_alt 'I -4'
_space_group_IT_number 82
_cell_length_a 6.661
_cell_length_b 6.661
_cell_length_c 11.592
_cell_angle_alpha 90.00
_cell_angle_beta 90.00
_cell_angle_gamma 90.00
loop_
_space_group_symop_operation_xyz
'x,y,z'
'y,-x,-z'
'-x,-y,z'
'-y,x,-z'
'x+1/2,y+1/2,z+1/2'
'y+1/2,-x+1/2,-z+1/2'
'-x+1/2,-y+1/2,z+1/2'
'-y+1/2,x+1/2,-z+1/2'
loop_
_atom_site_label
_atom_site_type_symbol
_atom_site_fract_x
_atom_site_fract_y
_atom_site_fract_z
Al1 Al 0.000 0.000 0.000
Au1 Au 0.000 0.500 0.750
I1 I 0.222 0.234 0.123
# excess energy over the best structure of this formula in the dataset: 0.000 eV per atom
# uncorrected formation energy: -439 meV per atom

No. 5
# GaAg6Au2 PBE optimized geometry
data_GaAg6Au2
_chemical_formula_sum 'Ga2 Ag12 Au4'
_space_group_name_H-M_alt 'C 1 2/m 1'
_space_group_IT_number 12
_cell_length_a 6.802
_cell_length_b 13.104
_cell_length_c 3.827
_cell_angle_alpha 90.00
_cell_angle_beta 104.38
_cell_angle_gamma 90.00
loop_
_space_group_symop_operation_xyz
'x,y,z'
'-x,-y,-z'
'-x,y,-z'
'x,-y,z'
'x+1/2,y+1/2,z'
'-x+1/2,-y+1/2,-z'
'-x+1/2,y+1/2,-z'
'x+1/2,-y+1/2,z'
loop_
_atom_site_label
_atom_site_type_symbol
_atom_site_fract_x
_atom_site_fract_y
_atom_site_fract_z
Ga1 Ga 0.000 0.000 0.000
Ag1 Ag 0.163 0.338 0.822
Ag2 Ag 0.163 0.500 0.321
Au1 Au 0.000 0.148 0.500
# excess energy over the best structure of this formula in the dataset: 0.025 eV per atom
# DFT formation energy: 19.5 meV/atom

No. 6
# ScAg2Au2 PBE optimized geometry
data_ScAg2Au2
_chemical_formula_sum 'Sc2 Ag4 Au4'
_space_group_name_H-M_alt 'P 4/m b m'
_space_group_IT_number 127
_space_group_name_Hall '-P 4 2ab'
_cell_length_a 7.166
_cell_length_b 7.166
_cell_length_c 3.853
_cell_angle_alpha 90.00
_cell_angle_beta 90.00
_cell_angle_gamma 90.00
loop_
_atom_site_label
_atom_site_type_symbol
_atom_site_fract_x
_atom_site_fract_y
_atom_site_fract_z
Sc1 Sc 0.000 0.000 0.000
Ag1 Ag 0.164 0.336 0.500
Au1 Au 0.137 0.637 0.000
# excess energy over the best structure of this formula in the dataset: 0.046 eV per atom
# DFT formation energy: -195.7 meV/atom